Entry from the Alexandria database: a geometry-optimized TbPm3Ir8 structure (PBE-GGA).

Total magnetization ... 0.000 Bohr magnetons per cell
Formation enthalpy at 0 K ... -71.8 kJ per mole of atoms
Calculated total energy ... -8.225 eV per atom
SG ... R3m

abc: 9.3656 9.3656 9.3656
angles: 33.59 33.59 33.59
Closest atoms and distances in Å follow each position.
Fractional positions:
Tb 0.0000 0.0000 0.0000  12 Ir 3.15-3.17, 4 Pm 3.31
Pm 0.3747 0.3747 0.3747  12 Ir 3.15-3.17, 3 Tb 3.31, 1 Pm 3.31
Pm 0.4998 0.4998 0.4998  12 Ir 3.17-3.19, 4 Pm 3.31-3.32
Pm 0.8752 0.8752 0.8752  12 Ir 3.17-3.19, 1 Tb 3.31, 3 Pm 3.32
Ir 0.1874 0.1874 0.1874  6 Ir 2.71
Ir 0.4363 0.9372 0.9372  6 Ir 2.70-2.71
Ir 0.4377 0.4377 0.9383  6 Ir 2.69-2.71
Ir 0.4377 0.9383 0.4377  6 Ir 2.69-2.71
Ir 0.6873 0.6873 0.6873  6 Ir 2.69-2.70
Ir 0.9372 0.4363 0.9372  6 Ir 2.70-2.71
Ir 0.9372 0.9372 0.4363  6 Ir 2.70-2.71
Ir 0.9383 0.4377 0.4377  6 Ir 2.69-2.71